CaSiGeRh2 | PBEsol | optimized geometry

Cell lengths 4.4940, 4.4940, 5.2164 Å; angles 90.00, 90.00, 90.00 degrees
Fractional coordinates of all 5 atoms:
Ca 0.0000 0.0000 0.0000
Si 0.5000 0.5000 0.0000
Ge 0.0000 0.0000 0.5000
Rh 0.0000 0.5000 0.5000
Rh 0.5000 0.0000 0.5000

VASP energy ... -5.3404 eV per atom
Uncorrected formation energy ... 479 meV/atom

Y2TaOs | PBEsol | optimized geometry

Cell lengths 3.1128, 4.6985, 5.7177 Å; angles 90.00, 104.39, 90.00 degrees
Fractional coordinates of all 4 atoms:
Y 0.0829 0.0000 0.2615
Y 0.9171 0.0000 0.7385
Ta 0.5000 0.5000 0.0000
Os 0.5000 0.5000 0.5000

Calculated formation energy ... 130 kJ/mol of formula units
E above lowest polymorph ... 0 meV/atom
VASP energy ... -9.2655 eV per atom

HfAs2CSe | PBEsol | optimized geometry

Cell lengths 4.3085, 4.3085, 4.3351 Å; angles 90.00, 90.00, 90.00 degrees
Fractional coordinates of all 5 atoms:
Hf 0.0000 0.0000 0.0000
As 0.0000 0.5000 0.5000
As 0.5000 0.0000 0.5000
C 0.5000 0.5000 0.5000
Se 0.5000 0.5000 0.0000

E above lowest polymorph ... 0 meV/atom
VASP energy ... -6.2475 eV per atom
Uncorrected formation energy ... 594 meV/atom

Zr2CdHg | PBEsol | optimized geometry

Cell lengths 5.2805, 5.2805, 5.2805 Å; angles 131.12, 131.12, 71.62 degrees
Fractional coordinates of all 4 atoms:
Zr 0.2500 0.7500 0.5000
Zr 0.7500 0.2500 0.5000
Cd 0.0000 0.0000 0.0000
Hg 0.5000 0.5000 0.0000

Calculated formation energy ... -88 kJ/mol of formula units
E above lowest polymorph ... 0 meV/atom
VASP energy ... -5.2150 eV per atom

CrGeIr3 | PBEsol | optimized geometry

Cell lengths 4.4509, 4.4509, 4.4509 Å; angles 90.00, 90.00, 90.00 degrees
Fractional coordinates of all 5 atoms:
Cr 0.0000 0.0000 0.0000
Ge 0.5000 0.5000 0.5000
Ir 0.0000 0.0000 0.5000
Ir 0.0000 0.5000 0.0000
Ir 0.5000 0.0000 0.0000

Calculated formation energy ... 659 kJ/mol of formula units
VASP energy ... -7.5634 eV per atom

Ba2SbAu | PBEsol | optimized geometry

Cell lengths 4.8310, 6.6489, 6.6489 Å; angles 41.31, 90.00, 90.00 degrees
Fractional coordinates of all 4 atoms:
Ba 0.0000 0.0000 0.0000
Ba 0.5000 0.2767 0.2767
Sb 0.5000 0.5664 0.5664
Au 0.0000 0.7192 0.7192

VASP energy ... -4.0381 eV per atom
Uncorrected formation energy ... -843 meV/atom